Here is crystalline RbU4Te6 at its relaxed geometry from Alexandria. Energies are from GGA-PBE.

a = 7.6791 Å, b = 7.6791 Å, c = 23.0699 Å
α = 90.00°, β = 90.00°, γ = 147.10°
With the nearest neighbours (Å) after each atom.
Atoms (fractional coordinates):
Rb1 0.1749 0.8251 0.7500  8 Te 3.59-3.92
Rb2 0.8251 0.1749 0.2500  8 Te 3.59-3.92
U1 0.0877 0.9123 0.1226  6 Te 3.01-3.13
U2 0.0877 0.9123 0.3774  6 Te 3.01-3.13
U3 0.3549 0.6451 0.0336  6 Te 3.09-3.15
U4 0.3549 0.6451 0.4664  6 Te 3.09-3.15
U5 0.6451 0.3549 0.5336  6 Te 3.09-3.15
U6 0.6451 0.3549 0.9664  6 Te 3.09-3.15
U7 0.9123 0.0877 0.6226  6 Te 3.01-3.13
U8 0.9123 0.0877 0.8774  6 Te 3.01-3.13
Te1 0.0000 0.0000 0.0000  6 U 3.11-3.15
Te2 0.0000 0.0000 0.5000  6 U 3.11-3.15
Te3 0.1308 0.8692 0.2500  2 U 3.01
Te4 0.2682 0.7318 0.5907  5 U 3.12-3.14
Te5 0.2682 0.7318 0.9093  5 U 3.12-3.14
Te6 0.4501 0.5499 0.1530  3 U 3.05-3.09
Te7 0.4501 0.5499 0.3470  3 U 3.05-3.09
Te8 0.5499 0.4501 0.6530  3 U 3.05-3.09
Te9 0.5499 0.4501 0.8470  3 U 3.05-3.09
Te10 0.7318 0.2682 0.0907  5 U 3.12-3.14
Te11 0.7318 0.2682 0.4093  5 U 3.12-3.14
Te12 0.8692 0.1308 0.7500  2 U 3.01

Properties
For the density, the calculation gives 8104 kg/m³. The value obtained for the energy relative to the elements, uncorrected is -621.6 meV per atom. The magnetization comes out at 23.74 Bohr magnetons per cell. As for the crystal system: orthorhombic. The symmetry is Cmcm (63).